This record from the Alexandria database describes a geometry-optimized ScTlPd2Br structure. The functional is GGA-PBE.

```
ScTlPd2Br
1.0
4.723 0.000 0.000
0.000 4.723 0.000
0.000 0.000 5.890
Sc Tl Pd Br
1 1 2 1
Direct
0.000 0.000 0.000
0.500 0.500 0.000
0.000 0.500 0.500
0.500 0.000 0.500
0.500 0.500 0.500
```

Computed properties:
The energy relative to the elements, uncorrected comes out at 10.08 kcal/mol of atoms. Its density of states at the Fermi level is 0.975 states/eV/atom. For the calculated density, the calculation gives 6.9 g/cm3. As for the symmetry: P4/mmm. The value obtained for the total energy is -3.714 eV per atom.

***

This record from the Alexandria database describes a geometry-optimized PdSeBr structure. The functional is GGA-PBE.

```
PdSeBr
1.0
3.766 0.000 0.000
-1.883 3.261 0.000
0.000 0.000 5.576
Pd Se Br
1 1 1
Direct
0.000 0.000 0.000
0.667 0.333 0.230
0.333 0.667 0.711
```

Computed properties:
The energy relative to the elements, uncorrected comes out at -4.75 kcal/mol of atoms. Its density of states at the Fermi level is 0.660 states/eV/atom. For the calculated density, the calculation gives 6.4 g/cm3. As for the symmetry: P3m1. The value obtained for the total energy is -3.656 eV per atom.

***

This record from the Alexandria database describes a geometry-optimized PdSe2Br8 structure. The functional is GGA-PBE.

```
PdSe2Br8
1.0
6.938 -4.541 0.000
6.938 4.541 0.000
-1.255 0.000 6.904
Pd Se Br
1 2 8
Direct
0.000 0.000 0.000
0.235 0.235 0.699
0.765 0.765 0.301
0.090 0.709 0.119
0.139 0.139 0.384
0.291 0.910 0.881
0.397 0.397 0.634
0.603 0.603 0.366
0.709 0.090 0.119
0.861 0.861 0.616
0.910 0.291 0.881
```

Computed properties:
The energy relative to the elements, uncorrected comes out at -2.06 kcal/mol of atoms. Its density of states at the Fermi level is 0.474 states/eV/atom. For the calculated density, the calculation gives 3.4 g/cm3. As for the symmetry: C2/m. The value obtained for the total energy is -2.412 eV per atom.

***

This record from the Alexandria database describes a geometry-optimized PdSe2Br structure. The functional is GGA-PBE.

```
PdSe2Br
1.0
6.878 0.000 0.000
0.000 5.143 0.000
-5.150 0.000 12.678
Pd Se Br
4 8 4
Direct
0.111 0.074 0.252
0.111 0.426 0.752
0.889 0.574 0.248
0.889 0.926 0.748
0.284 0.088 0.677
0.284 0.412 0.177
0.394 0.735 0.323
0.394 0.765 0.823
0.606 0.235 0.177
0.606 0.265 0.677
0.716 0.588 0.823
0.716 0.912 0.323
0.125 0.173 0.920
0.125 0.327 0.420
0.875 0.673 0.580
0.875 0.827 0.080
```

Computed properties:
The energy relative to the elements, uncorrected comes out at -1.81 kcal/mol of atoms. Its density of states at the Fermi level is 0.760 states/eV/atom. For the calculated density, the calculation gives 5.1 g/cm3. As for the symmetry: P2_1/c. For the distance to the lowest polymorph of the same formula, the calculation gives 0.1786 eV/atom. The value obtained for the total energy is -3.537 eV per atom.